(1)
## In5Pb3Br12 (PBE)

Data for a geometry-optimized In5Pb3Br12 structure.

Results
* size of the total moment: 0.00 μB per formula unit
* ΔE to the lowest computed polymorph: 0.0000 eV per atom
* formation energy without anion corrections: -72.62 kJ/mol of atoms
* crystal system: hexagonal
* calculated total energy: -2.997 eV per atom

Cell lengths 4.5082, 13.4347, 13.4347 Å; angles 120.00, 90.00, 90.00 degrees
Last column: nearest neighbours and their distance in Å.
Fractional coordinates of all 20 atoms:
In: 0.0000 0.3333 0.6667  6 Br 3.38
In: 0.0000 0.6667 0.3333  6 Br 3.38
In: 0.0000 0.2958 0.0000  7 Br 3.11-3.45
In: 0.0000 0.7042 0.7042  7 Br 3.11-3.45
In: 0.0000 0.0000 0.2958  7 Br 3.11-3.45
Pb: 0.5000 0.6791 0.0000  6 Br 3.04-3.06
Pb: 0.5000 0.3209 0.3209  6 Br 3.04-3.06
Pb: 0.5000 0.0000 0.6791  6 Br 3.04-3.06
Br: 0.0000 0.8324 0.0000  2 Pb 3.05
Br: 0.0000 0.1676 0.1676  2 Pb 3.05
Br: 0.0000 0.0000 0.8324  2 Pb 3.05
Br: 0.0000 0.5273 0.0000  2 Pb 3.04, 1 In 3.11
Br: 0.0000 0.4727 0.4727  2 Pb 3.04, 1 In 3.11
Br: 0.0000 0.0000 0.5273  2 Pb 3.04, 1 In 3.11
Br: 0.5000 0.1909 0.4542  1 Pb 3.06, 4 In 3.28-3.38
Br: 0.5000 0.2633 0.8091  1 Pb 3.06, 4 In 3.28-3.38
Br: 0.5000 0.8091 0.2633  1 Pb 3.06, 4 In 3.28-3.38
Br: 0.5000 0.5458 0.7367  1 Pb 3.06, 4 In 3.28-3.38
Br: 0.5000 0.7367 0.5458  1 Pb 3.06, 4 In 3.28-3.38
Br: 0.5000 0.4542 0.1909  1 Pb 3.06, 4 In 3.28-3.38

(2)
## InSeS2Cl (PBE)

Data for a geometry-optimized InSeS2Cl structure.

Results
* size of the total moment: 0.07 μB per formula unit
* ΔE to the lowest computed polymorph: 0.3260 eV per atom
* formation energy without anion corrections: 42.95 kJ/mol of atoms
* crystal system: tetragonal
* calculated total energy: -2.820 eV per atom

Cell lengths 5.2145, 5.2145, 4.9585 Å; angles 90.00, 90.00, 90.00 degrees
Last column: nearest neighbours and their distance in Å.
Fractional coordinates of all 5 atoms:
S: 0.0000 0.5000 0.0000  2 In 2.61
S: 0.5000 0.0000 0.0000  2 In 2.61
Cl: 0.0000 0.0000 0.5000  2 In 2.48
Se: 0.5000 0.5000 0.5000  8 S 3.60, 4 Cl 3.69
In: 0.0000 0.0000 0.0000  2 Cl 2.48, 4 S 2.61

(3)
## AcLaPrHg (PBE)

Data for a geometry-optimized AcLaPrHg structure.

Results
* energy of formation: -0.1 eV per formula unit
* size of the total moment: 0.00 μB per formula unit
* ΔE to the lowest computed polymorph: 0.2045 eV per atom
* crystal system: cubic
* calculated total energy: -3.566 eV per atom

Cell lengths 5.7523, 5.7523, 5.7523 Å; angles 60.00, 60.00, 60.00 degrees
Last column: nearest neighbours and their distance in Å.
Fractional coordinates of all 4 atoms:
Pr: 0.5000 0.5000 0.5000  4 Ac 3.52, 4 Hg 3.52
Ac: 0.7500 0.7500 0.7500  4 La 3.52, 4 Pr 3.52
Hg: 0.2500 0.2500 0.2500  4 Pr 3.52, 4 La 3.52
La: 0.0000 0.0000 0.0000  4 Hg 3.52, 4 Ac 3.52

(4)
## La7Pr3 (PBE)

Data for a geometry-optimized La7Pr3 structure.

Results
* energy of formation: 0.7 eV per formula unit
* size of the total moment: 0.00 μB per formula unit
* ΔE to the lowest computed polymorph: 0.0000 eV per atom
* crystal system: monoclinic
* calculated total energy: -4.813 eV per atom

Cell lengths 6.0777, 7.3267, 8.9415 Å; angles 99.20, 109.87, 90.00 degrees
Last column: nearest neighbours and their distance in Å.
Fractional coordinates of all 10 atoms:
La: 0.0000 0.5000 0.0000  4 Pr 3.45-3.66, 4 La 3.67
La: 0.1940 0.2330 0.3879  5 Pr 3.41-3.71, 4 La 3.71-3.77
La: 0.8060 0.7670 0.6121  5 Pr 3.41-3.71, 4 La 3.71-3.77
La: 0.3953 0.0849 0.7907  5 Pr 3.62-3.85, 7 La 3.63-4.05
La: 0.6047 0.9151 0.2093  5 Pr 3.62-3.85, 7 La 3.63-4.05
La: 0.3879 0.5766 0.7759  8 La 3.63-4.05, 3 Pr 3.64-3.93
La: 0.6121 0.4234 0.2241  8 La 3.63-4.05, 3 Pr 3.64-3.93
Pr: 0.0000 0.0000 0.0000  8 La 3.41-3.66
Pr: 0.1952 0.7403 0.3905  9 La 3.45-3.85
Pr: 0.8048 0.2597 0.6095  9 La 3.45-3.85